Entry 1:
Material: Pr2YC2Cl2
Method: DFT, PBE
State: relaxed

Unit cell a=8.0731 b=8.0731 c=8.0731 alpha=147.10 beta=147.10 gamma=47.22
Atoms (fractional coordinates):
Pr (0.1060, 0.1060, 0.0000)
Pr (0.8940, 0.8940, 0.0000)
Y (0.5000, 0.5000, 0.0000)
C (0.0000, 0.5000, 0.5000)
C (0.5000, 0.0000, 0.5000)
Cl (0.3067, 0.3067, 0.0000)
Cl (0.6933, 0.6933, 0.0000)

- Magnetization: 0.0 μB/cell
- Raw formation energy: -774.5 meV/atom
- SG: I4/mmm (139)



Entry 2:
Material: PtC3Cl
Method: DFT, PBE
State: relaxed

Unit cell a=3.6652 b=3.6652 c=3.6652 alpha=90.00 beta=90.00 gamma=90.00
Atoms (fractional coordinates):
Pt (0.0000, 0.0000, 0.0000)
C (0.0000, 0.5000, 0.5000)
C (0.5000, 0.0000, 0.5000)
C (0.5000, 0.5000, 0.0000)
Cl (0.5000, 0.5000, 0.5000)

- Magnetization: 0.0 μB/cell
- Raw formation energy: 3293.8 meV/atom
- E above lowest polymorph: 794.4 meV per atom
- SG: Pm-3m (221)